The following is a DFT calculation (GGA-PBE) of an optimized crystal structure of BaLa2Os.

The structure belongs to space group P4mm (No. 99); the cell edges are 4.158, 4.158 and 9.178 Å and the angles 90.00°, 90.00° and 90.00°. The inequivalent atoms are Ba at (0.000, 0.000, 0.000), La at (0.000, 0.000, 0.604), La at (0.500, 0.500, 0.337) and Os at (0.500, 0.500, 0.608).

The density is 6335 kg/m³. Its formation energy is 20.4 kJ per mole of atoms. The calculation puts the energy above the lowest structure with this stoichiometry at 260 meV per atom.